A geometry-optimized Dy4Tl2Sn structure, computed with PBE-GGA. Values from VASP.

Geometry as Quantum ESPRESSO input:
```
&SYSTEM
  ibrav = 0, nat = 14, ntyp = 3
/
ATOMIC_SPECIES
Dy 162.50 Dy.upf
Tl 204.38 Tl.upf
Sn 118.71 Sn.upf
CELL_PARAMETERS angstrom
7.991 -1.064 -0.125
-1.640 7.906 0.145
-3.065 -3.500 6.572
ATOMIC_POSITIONS crystal
Dy 0.021 0.271 0.394
Dy 0.373 0.479 0.249
Dy 0.877 0.628 0.607
Dy 0.730 0.123 0.750
Dy 0.372 0.979 0.250
Dy 0.229 0.121 0.749
Dy 0.521 0.771 0.893
Dy 0.878 0.627 0.107
Tl 0.505 0.375 0.630
Tl 0.745 0.875 0.370
Tl 0.625 0.255 0.130
Tl 0.125 0.495 0.870
Sn 0.250 0.750 0.500
Sn 0.000 0.000 0.000
```

Properties
relative energy among the computed polymorphs = 0.0 meV per atom
final energy = -60.0 eV per cell

=====

A geometry-optimized Dy5Tl4Sn structure, computed with PBE-GGA. Values from VASP.

Geometry as Quantum ESPRESSO input:
```
&SYSTEM
  ibrav = 0, nat = 10, ntyp = 3
/
ATOMIC_SPECIES
Dy 162.50 Dy.upf
Tl 204.38 Tl.upf
Sn 118.71 Sn.upf
CELL_PARAMETERS angstrom
3.626 0.000 0.000
0.000 3.626 0.000
0.000 0.000 20.575
ATOMIC_POSITIONS crystal
Dy 0.500 0.500 0.098
Dy 0.500 0.500 0.300
Dy 0.500 0.500 0.500
Dy 0.500 0.500 0.700
Dy 0.500 0.500 0.902
Tl 0.000 0.000 0.201
Tl 0.000 0.000 0.400
Tl 0.000 0.000 0.600
Tl 0.000 0.000 0.799
Sn 0.000 0.000 0.000
```

Properties
final energy = -40.4 eV per cell

=====

A geometry-optimized DyTlSn2 structure, computed with PBE-GGA. Values from VASP.

Geometry as Quantum ESPRESSO input:
```
&SYSTEM
  ibrav = 0, nat = 4, ntyp = 3
/
ATOMIC_SPECIES
Tl 204.38 Tl.upf
Sn 118.71 Sn.upf
Dy 162.50 Dy.upf
CELL_PARAMETERS angstrom
-1.638 4.233 -1.666
-3.757 -0.367 2.764
2.294 2.231 3.414
ATOMIC_POSITIONS crystal
Tl 0.500 0.000 0.000
Sn 0.000 0.000 0.500
Sn 0.000 0.500 0.000
Dy 0.500 0.500 0.500
```

Properties
final energy = -16.5 eV per cell

=====

A geometry-optimized Dy8TlSn5 structure, computed with PBE-GGA. Values from VASP.

Geometry as Quantum ESPRESSO input:
```
&SYSTEM
  ibrav = 0, nat = 14, ntyp = 3
/
ATOMIC_SPECIES
Dy 162.50 Dy.upf
Tl 204.38 Tl.upf
Sn 118.71 Sn.upf
CELL_PARAMETERS angstrom
7.608 0.000 -2.635
-3.787 6.569 -2.708
-0.034 0.000 8.052
ATOMIC_POSITIONS crystal
Dy 0.127 0.753 0.020
Dy 0.980 0.107 0.732
Dy 0.763 0.247 0.371
Dy 0.629 0.392 0.876
Dy 0.484 0.608 0.237
Dy 0.625 0.893 0.873
Dy 0.268 0.247 0.375
Dy 0.124 0.753 0.516
Tl 0.250 0.500 0.750
Sn 0.002 0.376 0.127
Sn 0.873 0.875 0.249
Sn 0.751 0.624 0.626
Sn 0.500 0.000 0.500
Sn 0.374 0.125 0.998
```

Properties
final energy = -68.2 eV per cell